No. 1
First-principles (meta-GGA SCAN) data for a PBEsol-optimized structure of ZnRu2, as listed in the Alexandria database.

Unit cell a=5.669 b=5.669 c=5.669 alpha=152.02 beta=152.02 gamma=39.99
Positions (direct):
Zn1 0.000 0.000 0.000
Ru1 0.328 0.328 0.000
Ru2 0.672 0.672 0.000

- Total energy: -27.731 eV per atom
- DOS at the Fermi energy: 2.028 states/eV/f.u.

---

No. 2
First-principles (meta-GGA SCAN) data for a PBEsol-optimized structure of K3Os, as listed in the Alexandria database.

Unit cell a=3.149 b=3.149 c=13.289 alpha=90.00 beta=90.00 gamma=90.00
Positions (direct):
K1 0.000 0.000 0.000
K2 0.500 0.500 0.320
K3 0.500 0.500 0.680
Os1 0.000 0.000 0.500

- Total energy: -22.948 eV per atom
- DOS at the Fermi energy: 2.416 states/eV/f.u.

---

No. 3
First-principles (meta-GGA SCAN) data for a PBEsol-optimized structure of ZnIrOs2, as listed in the Alexandria database.

Unit cell a=2.792 b=4.442 c=4.537 alpha=90.00 beta=90.00 gamma=90.00
Positions (direct):
Zn1 0.000 0.000 0.000
Ir1 0.500 0.500 0.000
Os1 0.000 0.500 0.500
Os2 0.500 0.000 0.500

- Total energy: -56.692 eV per atom
- DOS at the Fermi energy: 3.312 states/eV/f.u.

---

No. 4
First-principles (meta-GGA SCAN) data for a PBEsol-optimized structure of AlBiS3, as listed in the Alexandria database.

Unit cell a=5.119 b=5.119 c=5.119 alpha=90.00 beta=90.00 gamma=90.00
Positions (direct):
Al1 0.000 0.000 0.000
Bi1 0.500 0.500 0.500
S1 0.000 0.500 0.500
S2 0.500 0.000 0.500
S3 0.500 0.500 0.000

- Total energy: -22.448 eV per atom
- ΔE_f (raw): 287 kJ/mol of formula units
- DOS at the Fermi energy: 3.786 states/eV/f.u.

---

No. 5
First-principles (meta-GGA SCAN) data for a PBEsol-optimized structure of K4P4H7Ru2O18, as listed in the Alexandria database.

Unit cell a=9.011 b=9.356 c=13.583 alpha=90.00 beta=130.83 gamma=90.00
Positions (direct):
K1 0.140 0.118 0.280
K2 0.140 0.382 0.780
K3 0.279 0.718 0.152
K4 0.279 0.782 0.652
K5 0.721 0.218 0.348
K6 0.721 0.282 0.848
K7 0.860 0.618 0.220
K8 0.860 0.882 0.720
P1 0.253 0.137 0.037
P2 0.253 0.363 0.537
P3 0.323 0.714 0.928
P4 0.323 0.786 0.428
P5 0.677 0.214 0.572
P6 0.677 0.286 0.072
P7 0.747 0.637 0.463
P8 0.747 0.863 0.963
H1 0.000 0.000 0.000
H2 0.000 0.500 0.500
H3 0.047 0.099 0.634
H4 0.047 0.401 0.134
H5 0.228 0.124 0.634
H6 0.228 0.376 0.134
H7 0.472 0.142 0.597
H8 0.472 0.358 0.097
H9 0.528 0.642 0.903
H10 0.528 0.858 0.403
H11 0.772 0.624 0.866
H12 0.772 0.876 0.366
H13 0.953 0.599 0.866
H14 0.953 0.901 0.366
Ru1 0.391 0.034 0.892
Ru2 0.391 0.466 0.392
Ru3 0.609 0.534 0.608
Ru4 0.609 0.966 0.108
O1 0.078 0.115 0.032
O2 0.078 0.385 0.532
O3 0.163 0.642 0.918
O4 0.163 0.858 0.418
O5 0.182 0.066 0.672
O6 0.182 0.434 0.172
O7 0.187 0.108 0.900
O8 0.187 0.392 0.400
O9 0.247 0.655 0.335
O10 0.247 0.845 0.835
O11 0.315 0.205 0.577
O12 0.315 0.295 0.077
O13 0.401 0.602 0.885
O14 0.401 0.898 0.385
O15 0.424 0.033 0.136
O16 0.424 0.467 0.636
O17 0.494 0.734 0.570
O18 0.494 0.766 0.070
O19 0.506 0.234 0.930
O20 0.506 0.266 0.430
O21 0.576 0.533 0.364
O22 0.576 0.967 0.864
O23 0.599 0.102 0.615
O24 0.599 0.398 0.115
O25 0.685 0.705 0.923
O26 0.685 0.795 0.423
O27 0.753 0.155 0.165
O28 0.753 0.345 0.665
O29 0.813 0.608 0.600
O30 0.813 0.892 0.100
O31 0.818 0.566 0.828
O32 0.818 0.934 0.328
O33 0.837 0.142 0.582
O34 0.837 0.358 0.082
O35 0.922 0.615 0.468
O36 0.922 0.885 0.968

- Total energy: -9.930 eV per atom
- DOS at the Fermi energy: 0.609 states/eV/f.u.

---

No. 6
First-principles (meta-GGA SCAN) data for a PBEsol-optimized structure of IrAuS3, as listed in the Alexandria database.

Unit cell a=4.591 b=4.591 c=4.591 alpha=90.00 beta=90.00 gamma=90.00
Positions (direct):
Ir1 0.000 0.000 0.000
Au1 0.500 0.500 0.500
S1 0.000 0.000 0.500
S2 0.000 0.500 0.000
S3 0.500 0.000 0.000

- Total energy: -33.004 eV per atom
- ΔE_f (raw): 398 kJ/mol of formula units
- DOS at the Fermi energy: 4.942 states/eV/f.u.

---

No. 7
First-principles (meta-GGA SCAN) data for a PBEsol-optimized structure of Rb3BeAs, as listed in the Alexandria database.

Unit cell a=6.097 b=6.097 c=6.097 alpha=90.00 beta=90.00 gamma=90.00
Positions (direct):
Rb1 0.000 0.000 0.500
Rb2 0.000 0.500 0.000
Rb3 0.500 0.000 0.000
Be1 0.000 0.000 0.000
As1 0.500 0.500 0.500

- Total energy: -16.658 eV per atom
- DOS at the Fermi energy: 5.214 states/eV/f.u.

---

No. 8
First-principles (meta-GGA SCAN) data for a PBEsol-optimized structure of LiScRh, as listed in the Alexandria database.

Unit cell a=3.132 b=3.132 c=6.384 alpha=90.00 beta=90.00 gamma=120.00
Positions (direct):
Li1 0.000 0.000 0.000
Sc1 0.667 0.333 0.424
Rh1 0.333 0.667 0.699

- Total energy: -17.023 eV per atom
- Energy relative to the lowest polymorph listed for this composition: 310 meV per atom
- DOS at the Fermi energy: 2.085 states/eV/f.u.

---

No. 9
First-principles (meta-GGA SCAN) data for a PBEsol-optimized structure of ZnSb2Os, as listed in the Alexandria database.

Unit cell a=3.199 b=3.199 c=7.722 alpha=90.00 beta=90.00 gamma=90.00
Positions (direct):
Zn1 0.000 0.000 0.000
Sb1 0.000 0.000 0.379
Sb2 0.500 0.500 0.765
Os1 0.500 0.500 0.171

- Total energy: -39.745 eV per atom
- ΔE_f (raw): 90 kJ/mol of formula units
- DOS at the Fermi energy: 1.183 states/eV/f.u.

---

No. 10
First-principles (meta-GGA SCAN) data for a PBEsol-optimized structure of LiVO2F2, as listed in the Alexandria database.

Unit cell a=9.166 b=5.203 c=5.994 alpha=90.00 beta=90.00 gamma=90.00
Positions (direct):
Li1 0.224 0.083 0.000
Li2 0.276 0.083 0.500
Li3 0.724 0.917 0.000
Li4 0.776 0.917 0.500
V1 0.081 0.614 0.714
V2 0.419 0.614 0.214
V3 0.581 0.386 0.714
V4 0.919 0.386 0.214
O1 0.011 0.441 0.449
O2 0.221 0.800 0.764
O3 0.279 0.800 0.264
O4 0.489 0.441 0.949
O5 0.511 0.559 0.449
O6 0.721 0.200 0.764
O7 0.779 0.200 0.264
O8 0.989 0.559 0.949
F1 0.032 0.128 0.099
F2 0.193 0.309 0.727
F3 0.307 0.309 0.227
F4 0.468 0.128 0.599
F5 0.532 0.872 0.099
F6 0.693 0.691 0.727
F7 0.807 0.691 0.227
F8 0.968 0.872 0.599

- Total energy: -9.343 eV per atom
- ΔE_f (raw): -1605 kJ/mol of formula units
- Energy relative to the lowest polymorph listed for this composition: 38 meV per atom
- DOS at the Fermi energy: 0.000 states/eV/f.u.

---

No. 11
First-principles (meta-GGA SCAN) data for a PBEsol-optimized structure of OsPb2Br, as listed in the Alexandria database.

Unit cell a=9.919 b=9.919 c=9.919 alpha=19.17 beta=19.17 gamma=19.17
Positions (direct):
Os1 0.000 0.000 0.000
Pb1 0.507 0.507 0.507
Pb2 0.737 0.737 0.737
Br1 0.269 0.269 0.269

- Total energy: -60.016 eV per atom
- ΔE_f (raw): 274 kJ/mol of formula units
- DOS at the Fermi energy: 2.370 states/eV/f.u.

---

No. 12
First-principles (meta-GGA SCAN) data for a PBEsol-optimized structure of Ba5Cr, as listed in the Alexandria database.

Unit cell a=4.214 b=4.214 c=16.803 alpha=90.00 beta=90.00 gamma=90.00
Positions (direct):
Ba1 0.000 0.000 0.000
Ba2 0.000 0.000 0.385
Ba3 0.000 0.000 0.615
Ba4 0.500 0.500 0.193
Ba5 0.500 0.500 0.807
Cr1 0.500 0.500 0.500

- Total energy: -35.831 eV per atom
- DOS at the Fermi energy: 7.160 states/eV/f.u.

---

No. 13
First-principles (meta-GGA SCAN) data for a PBEsol-optimized structure of MgCo2O4, as listed in the Alexandria database.

Unit cell a=8.526 b=2.802 c=9.861 alpha=90.00 beta=90.00 gamma=90.00
Positions (direct):
Mg1 0.239 0.250 0.162
Mg2 0.261 0.750 0.662
Mg3 0.739 0.250 0.338
Mg4 0.761 0.750 0.838
Co1 0.051 0.250 0.382
Co2 0.093 0.250 0.903
Co3 0.407 0.750 0.403
Co4 0.449 0.750 0.882
Co5 0.551 0.250 0.118
Co6 0.593 0.250 0.597
Co7 0.907 0.750 0.097
Co8 0.949 0.750 0.618
O1 0.056 0.750 0.784
O2 0.091 0.250 0.570
O3 0.117 0.750 0.038
O4 0.193 0.750 0.330
O5 0.307 0.250 0.830
O6 0.383 0.250 0.538
O7 0.409 0.750 0.070
O8 0.444 0.250 0.284
O9 0.556 0.750 0.716
O10 0.591 0.250 0.930
O11 0.617 0.750 0.462
O12 0.693 0.750 0.170
O13 0.807 0.250 0.670
O14 0.883 0.250 0.962
O15 0.909 0.750 0.430
O16 0.944 0.250 0.216

- Total energy: -11.123 eV per atom
- ΔE_f (raw): -1289 kJ/mol of formula units
- Energy relative to the lowest polymorph listed for this composition: 70 meV per atom
- DOS at the Fermi energy: 0.000 states/eV/f.u.

---

No. 14
First-principles (meta-GGA SCAN) data for a PBEsol-optimized structure of Mn2ZnCo, as listed in the Alexandria database.

Unit cell a=4.068 b=4.068 c=2.876 alpha=90.00 beta=90.00 gamma=90.00
Positions (direct):
Mn1 0.000 0.500 0.000
Mn2 0.500 0.000 0.000
Zn1 0.000 0.000 0.500
Co1 0.500 0.500 0.500

- Total energy: -17.030 eV per atom
- DOS at the Fermi energy: 2.248 states/eV/f.u.

---

No. 15
First-principles (meta-GGA SCAN) data for a PBEsol-optimized structure of AgF2, as listed in the Alexandria database.

Unit cell a=3.609 b=5.094 c=5.832 alpha=90.00 beta=124.26 gamma=90.00
Positions (direct):
Ag1 0.000 0.000 0.000
Ag2 0.000 0.500 0.500
F1 0.236 0.208 0.799
F2 0.236 0.292 0.299
F3 0.764 0.708 0.701
F4 0.764 0.792 0.201

- Total energy: -14.056 eV per atom
- ΔE_f (raw): -359 kJ/mol of formula units
- DOS at the Fermi energy: 1.267 states/eV/f.u.

---

No. 16
First-principles (meta-GGA SCAN) data for a PBEsol-optimized structure of IrPdW2Se, as listed in the Alexandria database.

Unit cell a=4.682 b=4.682 c=4.852 alpha=90.00 beta=90.00 gamma=90.00
Positions (direct):
Ir1 0.000 0.000 0.000
Pd1 0.000 0.000 0.500
W1 0.000 0.500 0.000
W2 0.500 0.000 0.000
Se1 0.500 0.500 0.500

- Total energy: -50.862 eV per atom
- ΔE_f (raw): 870 kJ/mol of formula units
- DOS at the Fermi energy: 5.690 states/eV/f.u.

---

No. 17
First-principles (meta-GGA SCAN) data for a PBEsol-optimized structure of SrMn2Tc, as listed in the Alexandria database.

Unit cell a=3.059 b=3.059 c=7.574 alpha=90.00 beta=90.00 gamma=90.00
Positions (direct):
Sr1 0.000 0.000 0.000
Mn1 0.500 0.500 0.323
Mn2 0.500 0.500 0.677
Tc1 0.000 0.000 0.500

- Total energy: -23.161 eV per atom
- Energy relative to the lowest polymorph listed for this composition: 0 meV per atom
- DOS at the Fermi energy: 3.431 states/eV/f.u.

---

No. 18
First-principles (meta-GGA SCAN) data for a PBEsol-optimized structure of LaSb2Os, as listed in the Alexandria database.

Unit cell a=6.505 b=6.505 c=6.505 alpha=39.07 beta=39.07 gamma=39.07
Positions (direct):
La1 0.000 0.000 0.000
Sb1 0.215 0.215 0.215
Sb2 0.436 0.436 0.436
Os1 0.816 0.816 0.816

- Total energy: -47.897 eV per atom
- ΔE_f (raw): -201 kJ/mol of formula units
- DOS at the Fermi energy: 1.605 states/eV/f.u.

---

No. 19
First-principles (meta-GGA SCAN) data for a PBEsol-optimized structure of ZrNi2Te, as listed in the Alexandria database.

Unit cell a=4.005 b=4.005 c=5.301 alpha=112.41 beta=112.41 gamma=60.35
Positions (direct):
Zr1 0.000 0.000 0.000
Ni1 0.244 0.244 0.734
Ni2 0.522 0.522 0.566
Te1 0.797 0.797 0.390

- Total energy: -25.382 eV per atom
- ΔE_f (raw): -119 kJ/mol of formula units
- DOS at the Fermi energy: 2.269 states/eV/f.u.

---

No. 20
First-principles (meta-GGA SCAN) data for a PBEsol-optimized structure of LaTl2Ag, as listed in the Alexandria database.

Unit cell a=3.579 b=3.579 c=7.664 alpha=90.00 beta=90.00 gamma=90.00
Positions (direct):
La1 0.000 0.000 0.000
Tl1 0.500 0.500 0.287
Tl2 0.500 0.500 0.713
Ag1 0.000 0.000 0.500

- Total energy: -55.044 eV per atom
- DOS at the Fermi energy: 2.052 states/eV/f.u.

---

No. 21
First-principles (meta-GGA SCAN) data for a PBEsol-optimized structure of CaMnPb2, as listed in the Alexandria database.

Unit cell a=4.777 b=4.777 c=4.320 alpha=90.00 beta=90.00 gamma=90.00
Positions (direct):
Ca1 0.000 0.000 0.000
Mn1 0.500 0.500 0.000
Pb1 0.000 0.500 0.500
Pb2 0.500 0.000 0.500

- Total energy: -45.169 eV per atom
- DOS at the Fermi energy: 1.316 states/eV/f.u.

---

No. 22
First-principles (meta-GGA SCAN) data for a PBEsol-optimized structure of BeOsN2O, as listed in the Alexandria database.

Unit cell a=3.436 b=3.436 c=3.355 alpha=90.00 beta=90.00 gamma=90.00
Positions (direct):
Be1 0.000 0.000 0.000
Os1 0.500 0.500 0.500
N1 0.000 0.500 0.000
N2 0.500 0.000 0.000
O1 0.000 0.000 0.500

- Total energy: -19.183 eV per atom
- ΔE_f (raw): 495 kJ/mol of formula units
- DOS at the Fermi energy: 2.427 states/eV/f.u.

---

No. 23
First-principles (meta-GGA SCAN) data for a PBEsol-optimized structure of RbNa3Co, as listed in the Alexandria database.

Unit cell a=5.733 b=5.733 c=5.733 alpha=90.00 beta=90.00 gamma=90.00
Positions (direct):
Rb1 0.000 0.000 0.000
Na1 0.000 0.500 0.500
Na2 0.500 0.000 0.500
Na3 0.500 0.500 0.000
Co1 0.500 0.500 0.500

- Total energy: -9.537 eV per atom
- DOS at the Fermi energy: 8.201 states/eV/f.u.

---

Across the entries above, M_tot takes the values 0.00 1.70 1.07 0.00 3.00 2.23 0.08 0.00 0.00 0.00 1.17 4.26 0.00 8.12 0.00 1.74 6.68 0.00 0.00 0.32 4.66 0.00 2.14 μB per formula unit, respectively.